No. 1
{
  "formula": "Cd3SiSn",
  "functional": "PBE",
  "state": "optimized geometry",
  "lattice_angstrom": [[-0.012, -5.453, 0.566], [4.556, 0.305, 3.034], [-3.050, 0.477, 4.531]],
  "species": ["Cd", "Cd", "Cd", "Sn", "Si"],
  "fractional_positions": [[0.500, 0.000, 0.000], [0.000, 0.000, 0.500], [0.000, 0.500, 0.000], [0.000, 0.000, 0.000], [0.500, 0.500, 0.500]],
  "de_polymorph_ev_per_atom": 0.4241,
  "spacegroup": "Pm-3m",
  "e_tot_ev_per_cell": -7.9
}

***

No. 2
{
  "formula": "Tl2InHgH",
  "functional": "PBE",
  "state": "optimized geometry",
  "lattice_angstrom": [[-0.173, 1.315, 5.874], [-3.532, 0.749, -0.272], [-1.314, -5.743, 1.247]],
  "species": ["Hg", "Tl", "Tl", "H", "In"],
  "fractional_positions": [[0.000, 0.000, 0.000], [0.000, 0.000, 0.500], [0.500, 0.000, 0.000], [0.000, 0.500, 0.000], [0.500, 0.500, 0.500]],
  "de_polymorph_ev_per_atom": 0.0334,
  "spacegroup": "P4/mmm",
  "e_tot_ev_per_cell": -10.0
}

***

No. 3
{
  "formula": "SiTcMo",
  "functional": "PBE",
  "state": "optimized geometry",
  "lattice_angstrom": [[3.022, -0.039, 0.405], [0.042, 4.863, 0.112], [-0.824, -2.243, 5.927]],
  "species": ["Si", "Si", "Tc", "Tc", "Mo", "Mo"],
  "fractional_positions": [[0.156, 0.734, 0.661], [0.654, 0.925, 0.198], [0.155, 0.147, 0.999], [0.656, 0.511, 0.860], [0.155, 0.149, 0.521], [0.656, 0.509, 0.337]],
  "de_polymorph_ev_per_atom": 0.1434,
  "spacegroup": "P2_1/m",
  "e_tot_ev_per_cell": -54.6
}

***

No. 4
{
  "formula": "KTl2Se2",
  "functional": "PBE",
  "state": "optimized geometry",
  "lattice_angstrom": [[-3.120, 4.289, -4.449], [-4.078, -3.578, -4.784], [-2.090, 0.146, 9.090]],
  "species": ["Se", "Se", "Se", "Se", "Tl", "Tl", "Tl", "Tl", "K", "K"],
  "fractional_positions": [[0.667, 0.667, 0.834], [0.094, 0.321, 0.500], [0.333, 0.333, 0.166], [0.906, 0.679, 0.500], [0.448, 0.764, 0.500], [0.871, 0.871, 0.241], [0.129, 0.129, 0.759], [0.552, 0.236, 0.500], [0.215, 0.715, 0.929], [0.785, 0.285, 0.071]],
  "de_polymorph_ev_per_atom": 0.0720,
  "spacegroup": "C2/m",
  "e_tot_ev_per_cell": -30.7
}